Crystalline BaZnTc2Ru at its relaxed geometry, computed with PBE-GGA.

## Properties
**Crystal system**: tetragonal
**ρ**: 7.5 Mg/m³
**Formation enthalpy at 0 K**: 1401 meV/atom

a = 4.8049 Å, b = 4.8049 Å, c = 4.7860 Å
α = 90.00°, β = 90.00°, γ = 90.00°
Last column: nearest neighbours and their distance in Å.
Fractional coordinates of all 5 atoms:
1 Ba 0.0000 0.0000 0.0000  8 Tc 3.39, 4 Ru 3.40
2 Zn 0.5000 0.5000 0.5000  2 Ru 2.39, 4 Tc 2.40
3 Tc 0.0000 0.5000 0.5000  2 Zn 2.40
4 Tc 0.5000 0.0000 0.5000  2 Zn 2.40
5 Ru 0.5000 0.5000 0.0000  2 Zn 2.39

***

Crystalline BaTeRu at its relaxed geometry, computed with PBE-GGA.

## Properties
**Crystal system**: cubic
**ρ**: 7.0 Mg/m³
**Energy above the lowest structure with this stoichiometry**: 391 meV per atom

a = 4.9814 Å, b = 4.9814 Å, c = 4.9814 Å
α = 60.00°, β = 60.00°, γ = 60.00°
Last column: nearest neighbours and their distance in Å.
Fractional coordinates of all 3 atoms:
1 Ba 0.0000 0.0000 0.0000  4 Ru 3.05
2 Te 0.5000 0.5000 0.5000  4 Ru 3.05
3 Ru 0.2500 0.2500 0.2500  4 Te 3.05, 4 Ba 3.05

***

Crystalline BaTeRu at its relaxed geometry, computed with PBE-GGA.

## Properties
**Crystal system**: cubic
**ρ**: 5.3 Mg/m³
**Energy above the lowest structure with this stoichiometry**: 1186 meV per atom

a = 5.4671 Å, b = 5.4671 Å, c = 5.4671 Å
α = 60.00°, β = 60.00°, γ = 60.00°
Last column: nearest neighbours and their distance in Å.
Fractional coordinates of all 3 atoms:
1 Ba 0.0000 0.0000 0.0000  4 Te 3.35, 4 Ru 3.35
2 Te 0.7500 0.7500 0.7500  4 Ba 3.35
3 Ru 0.2500 0.2500 0.2500  4 Ba 3.35

***

Crystalline BaTe4Ru at its relaxed geometry, computed with PBE-GGA.

## Properties
**Crystal system**: cubic
**Total energy**: -3.558 eV per atom
**ρ**: 6.6 Mg/m³

a = 6.4379 Å, b = 6.4379 Å, c = 6.4379 Å
α = 60.00°, β = 60.00°, γ = 60.00°
Last column: nearest neighbours and their distance in Å.
Fractional coordinates of all 6 atoms:
1 Ba 0.0000 0.0000 0.0000  12 Te 3.78, 4 Ru 3.94
2 Te 0.3764 0.3764 0.3764  6 Te 3.18-3.25
3 Te 0.3764 0.3764 0.8710  6 Te 3.18-3.25
4 Te 0.3764 0.8710 0.3764  6 Te 3.18-3.25
5 Te 0.8710 0.3764 0.3764  6 Te 3.18-3.25
6 Ru 0.7500 0.7500 0.7500  12 Te 3.77, 4 Ba 3.94

***

> Among the records above, which one has the lowest ρ?

number 3